Run a
Below is a relaxed structure of Pm12Er7Pu, with properties calculated at the PBE level.

a b c (Å): 6.1500 11.4529 11.4529
angles (deg): 116.87 100.31 100.31
Positions (direct):
Pm  0.0868  0.5860  0.1733
Pm  0.0865  0.1733  0.5873
Pm  0.5724  0.6474  0.0013
Pm  0.4289  0.0013  0.3540
Pm  0.4992  0.4127  0.5860
Pm  0.0750  0.6460  0.6474
Pm  0.9250  0.3540  0.3526
Pm  0.5008  0.5873  0.4140
Pm  0.5711  0.9987  0.6460
Pm  0.4276  0.3526  0.9987
Pm  0.9135  0.8267  0.4127
Pm  0.9132  0.4140  0.8267
Er  0.1170  0.7608  0.0015
Er  0.8845  0.0015  0.2407
Er  0.6438  0.7593  0.7608
Er  0.5000  0.0000  0.0000
Er  0.3562  0.2407  0.2392
Er  0.1155  0.9985  0.7593
Er  0.8830  0.2392  0.9985
Pu  0.0000  0.0000  0.0000

Computed properties:
Space-group type: R-3 (148)
Crystal system: trigonal

***

Run b
Below is a relaxed structure of Pm12Er7Pu, with properties calculated at the PBE level.

a b c (Å): 8.8314 8.8314 8.8314
angles (deg): 99.94 99.94 99.94
Positions (direct):
Pm  0.9042  0.3363  0.9041
Pm  0.6637  0.0959  0.0958
Pm  0.7576  0.2424  0.5001
Pm  0.7576  0.4999  0.2424
Pm  0.0959  0.0958  0.6637
Pm  0.4999  0.2424  0.7576
Pm  0.5001  0.7576  0.2424
Pm  0.9041  0.9042  0.3363
Pm  0.2424  0.5001  0.7576
Pm  0.2424  0.7576  0.4999
Pm  0.3363  0.9041  0.9042
Pm  0.0958  0.6637  0.0959
Er  0.9147  0.6538  0.6537
Er  0.3462  0.3463  0.0853
Er  0.3463  0.0853  0.3462
Er  0.5000  0.5000  0.5000
Er  0.6537  0.9147  0.6538
Er  0.6538  0.6537  0.9147
Er  0.0853  0.3462  0.3463
Pu  0.0000  0.0000  0.0000

Computed properties:
Space-group type: R-3m (166)
Crystal system: trigonal

***

Unit: meV per atom. Relative energies: run a 120; run b 0.

***

Run a
Below is a relaxed structure of PmErRh, with properties calculated at the PBE level.

a b c (Å): 3.4818 3.4818 6.8014
angles (deg): 104.83 104.83 90.00
Positions (direct):
Er  0.0393  0.0393  0.0786
Rh  0.6597  0.6597  0.3194
Pm  0.3010  0.3010  0.6020

Computed properties:
Space-group type: I4mm (107)
Crystal system: tetragonal

***

Run b
Below is a relaxed structure of PmErRh, with properties calculated at the PBE level.

a b c (Å): 4.4928 5.7810 6.5102
angles (deg): 106.66 90.01 90.00
Positions (direct):
Pm  0.7522  0.5747  0.2856
Pm  0.2522  0.4331  0.7176
Er  0.7522  0.9795  0.8005
Er  0.2523  0.0283  0.2028
Rh  0.7523  0.1619  0.4471
Rh  0.2522  0.8457  0.5561

Computed properties:
Space-group type: P2_1/m (11)
Crystal system: monoclinic

***

Unit: meV per atom. Relative energies: run a 32; run b 0.

***

Run a
Below is a relaxed structure of PmErRh, with properties calculated at the PBE level.

a b c (Å): 4.6714 7.4438 7.4438
angles (deg): 120.00 90.00 90.00
Positions (direct):
Rh  0.5000  0.6667  0.3333
Rh  0.5000  0.3333  0.6667
Rh  0.0000  0.0000  0.0000
Er  0.5000  0.2624  0.0000
Er  0.5000  0.0000  0.2624
Er  0.5000  0.7376  0.7376
Pm  0.0000  0.5937  0.0000
Pm  0.0000  0.0000  0.5937
Pm  0.0000  0.4063  0.4063

Computed properties:
Space-group type: P-62m (189)
Crystal system: hexagonal

***

Run b
Below is a relaxed structure of PmErRh, with properties calculated at the PBE level.

a b c (Å): 5.9896 6.9247 8.0657
angles (deg): 93.26 90.00 90.00
Positions (direct):
Pm  0.3665  0.1981  0.8841
Pm  0.6335  0.8019  0.1159
Pm  0.8665  0.3019  0.6159
Pm  0.1335  0.6981  0.3841
Er  0.8817  0.2952  0.1307
Er  0.6183  0.7952  0.6307
Er  0.1183  0.7048  0.8693
Er  0.3817  0.2048  0.3693
Rh  0.3324  0.4708  0.6358
Rh  0.6676  0.5292  0.3642
Rh  0.1676  0.9708  0.1358
Rh  0.8324  0.0292  0.8642

Computed properties:
Space-group type: P2_1/c (14)
Crystal system: monoclinic

***

Unit: meV per atom. Relative energies: run a 0; run b 75.